Record 1
VASP calculation (PBE-GGA) on crystalline CaAs3Pd at its relaxed geometry.

Output
**Theoretical density**: 5.1 g/cm³
**N(E_F)**: 0.8915 states/eV/atom
**ΔE to the lowest computed polymorph**: 477 meV/atom
**Space group**: Pm-3m, No. 221

Unit cell a=4.957 b=4.957 c=4.957 alpha=90.00 beta=90.00 gamma=90.00
Atoms (fractional coordinates):
Ca 0.500 0.500 0.500
As 0.000 0.000 0.500
As 0.500 0.000 0.000
As 0.000 0.500 0.000
Pd 0.000 0.000 0.000



Record 2
VASP calculation (PBE-GGA) on crystalline CaAs4Pd6 at its relaxed geometry.

Output
**Theoretical density**: 7.9 g/cm³
**N(E_F)**: 0.4637 states/eV/atom
**Space group**: I-42m, No. 121

Unit cell a=6.591 b=6.591 c=6.591 alpha=92.60 beta=118.51 gamma=118.51
Atoms (fractional coordinates):
Ca 0.000 0.000 0.000
Pd 0.303 0.524 0.524
Pd 0.697 0.221 0.221
Pd 0.000 0.476 0.779
Pd 0.000 0.779 0.476
Pd 0.500 0.000 0.500
Pd 0.500 0.500 0.000
As 0.000 0.140 0.575
As 0.000 0.575 0.140
As 0.435 0.860 0.860
As 0.565 0.425 0.425



Record 3
VASP calculation (PBE-GGA) on crystalline Ca4AsPd2 at its relaxed geometry.

Output
**Theoretical density**: 3.4 g/cm³
**N(E_F)**: 0.4225 states/eV/atom
**Space group**: I4/mmm, No. 139

Unit cell a=5.608 b=5.608 c=8.026 alpha=69.55 beta=69.55 gamma=90.00
Atoms (fractional coordinates):
As 0.000 0.000 0.000
Pd 0.402 0.402 0.195
Pd 0.598 0.598 0.805
Ca 0.203 0.203 0.594
Ca 0.500 0.000 0.000
Ca 0.797 0.797 0.406
Ca 0.000 0.500 0.000



Record 4
VASP calculation (PBE-GGA) on crystalline CaAs3Pd at its relaxed geometry.

Output
**Theoretical density**: 4.2 g/cm³
**N(E_F)**: 0.9106 states/eV/atom
**ΔE to the lowest computed polymorph**: 1545 meV/atom
**Space group**: Pm-3m, No. 221

Unit cell a=5.261 b=5.261 c=5.261 alpha=90.00 beta=90.00 gamma=90.00
Atoms (fractional coordinates):
Pd 0.500 0.500 0.500
As 0.000 0.000 0.500
As 0.000 0.500 0.000
As 0.500 0.000 0.000
Ca 0.000 0.000 0.000



Record 5
VASP calculation (PBE-GGA) on crystalline CaAs2Pd at its relaxed geometry.

Output
**Theoretical density**: 5.2 g/cm³
**Space group**: Cc, No. 9

Unit cell a=4.596 b=4.596 c=9.070 alpha=94.34 beta=94.34 gamma=90.34
Atoms (fractional coordinates):
Pd 0.580 0.490 0.786
Pd 0.490 0.580 0.286
As 0.316 0.607 0.540
As 0.983 0.391 0.257
As 0.607 0.316 0.040
As 0.391 0.983 0.757
Ca 0.832 0.068 0.520
Ca 0.068 0.832 0.020



Record 6
VASP calculation (PBE-GGA) on crystalline CaAsPd3 at its relaxed geometry.

Output
**Theoretical density**: 7.6 g/cm³
**N(E_F)**: 0.2897 states/eV/atom
**ΔE to the lowest computed polymorph**: 0 meV/atom
**Space group**: Imma, No. 74

Unit cell a=5.519 b=6.479 c=6.479 alpha=82.61 beta=64.79 gamma=64.79
Atoms (fractional coordinates):
Pd 0.702 0.298 0.798
Pd 0.298 0.702 0.202
Pd 0.250 0.086 0.414
Pd 0.798 0.702 0.202
Pd 0.750 0.914 0.586
Pd 0.202 0.298 0.798
Ca 0.250 0.748 0.752
Ca 0.750 0.252 0.248
As 0.000 0.500 0.500
As 0.500 0.000 0.000



Record 7
VASP calculation (PBE-GGA) on crystalline Ca2AsPd at its relaxed geometry.

Output
**Theoretical density**: 4.4 g/cm³
**N(E_F)**: 0.4384 states/eV/atom
**Space group**: I-42d, No. 122

Unit cell a=7.786 b=7.786 c=6.414 alpha=52.63 beta=52.63 gamma=90.00
Atoms (fractional coordinates):
As 0.250 0.750 0.500
As 0.500 0.500 0.000
Ca 0.628 0.125 0.250
Ca 0.875 0.878 0.750
Ca 0.122 0.625 0.250
Ca 0.375 0.372 0.750
Pd 0.750 0.250 0.500
Pd 0.000 0.000 0.000



Record 8
VASP calculation (PBE-GGA) on crystalline Ca3As4Pd2 at its relaxed geometry.

Output
**Theoretical density**: 5.3 g/cm³
**N(E_F)**: 0.3030 states/eV/atom
**ΔE to the lowest computed polymorph**: 0 meV/atom
**Space group**: C2/m, No. 12

Unit cell a=4.424 b=5.943 c=8.313 alpha=100.43 beta=90.00 gamma=111.85
Atoms (fractional coordinates):
As 0.941 0.882 0.615
As 0.723 0.447 0.062
As 0.277 0.553 0.938
As 0.059 0.118 0.385
Ca 0.337 0.673 0.335
Ca 0.000 0.000 0.000
Ca 0.663 0.327 0.665
Pd 0.392 0.785 0.717
Pd 0.608 0.215 0.283



Record 9
VASP calculation (PBE-GGA) on crystalline Ca3As3Pd2 at its relaxed geometry.

Output
**Theoretical density**: 5.4 g/cm³
**N(E_F)**: 0.3270 states/eV/atom
**Space group**: Cmcm, No. 63

Unit cell a=4.383 b=5.771 c=14.597 alpha=90.00 beta=90.00 gamma=112.32
Atoms (fractional coordinates):
Ca 0.626 0.252 0.250
Ca 0.096 0.192 0.891
Ca 0.904 0.808 0.391
Ca 0.374 0.748 0.750
Ca 0.904 0.808 0.109
Ca 0.096 0.192 0.609
As 0.611 0.221 0.036
As 0.611 0.221 0.464
As 0.330 0.660 0.250
As 0.670 0.340 0.750
As 0.389 0.779 0.536
As 0.389 0.779 0.964
Pd 0.194 0.389 0.400
Pd 0.806 0.611 0.900
Pd 0.194 0.389 0.100
Pd 0.806 0.611 0.600



Record 10
VASP calculation (PBE-GGA) on crystalline CaAs2Pd2 at its relaxed geometry.

Output
**Theoretical density**: 7.2 g/cm³
**N(E_F)**: 0.6024 states/eV/atom
**Space group**: P4/mbm, No. 127

Unit cell a=7.661 b=7.661 c=3.175 alpha=90.00 beta=90.00 gamma=90.00
Atoms (fractional coordinates):
Pd 0.857 0.357 0.500
Pd 0.643 0.857 0.500
Pd 0.143 0.643 0.500
Pd 0.357 0.143 0.500
Ca 0.500 0.500 0.000
Ca 0.000 0.000 0.000
As 0.850 0.650 0.000
As 0.350 0.850 0.000
As 0.650 0.150 0.000
As 0.150 0.350 0.000



Record 11
VASP calculation (PBE-GGA) on crystalline Ca2AsPd at its relaxed geometry.

Output
**Theoretical density**: 4.8 g/cm³
**N(E_F)**: 0.4754 states/eV/atom
**Space group**: P4/mmm, No. 123

Unit cell a=3.721 b=4.931 c=4.931 alpha=90.00 beta=90.00 gamma=90.00
Atoms (fractional coordinates):
Ca 0.000 0.500 0.000
Ca 0.000 0.000 0.500
As 0.500 0.000 0.000
Pd 0.500 0.500 0.500



Record 12
VASP calculation (PBE-GGA) on crystalline Ca3As4Pd7 at its relaxed geometry.

Output
**Theoretical density**: 7.5 g/cm³
**N(E_F)**: 0.4812 states/eV/atom
**Space group**: C2/m, No. 12

Unit cell a=4.158 b=8.197 c=8.448 alpha=70.65 beta=75.75 gamma=75.31
Atoms (fractional coordinates):
Ca 0.000 0.500 0.500
Ca 0.672 0.825 0.831
Ca 0.328 0.175 0.169
Pd 0.305 0.861 0.530
Pd 0.512 0.756 0.221
Pd 0.488 0.244 0.779
Pd 0.695 0.139 0.470
Pd 0.000 0.000 0.000
Pd 0.829 0.421 0.921
Pd 0.171 0.579 0.079
As 0.332 0.568 0.767
As 0.668 0.432 0.233
As 0.107 0.109 0.678
As 0.893 0.891 0.322



Energy relative to the elements: -0.05 -0.48 -0.52 1.02 -0.62 -0.62 -0.56 -0.89 -0.98 -0.47 -0.81 -0.77 (eV per atom)